## Pr2SnAu4 (PBE)

Data for a relaxed Pr2SnAu4 crystal.

Cell: 10.421 10.421 10.421 Å, 25.43 25.43 25.43°
Positions (direct):
Pr1 0.246 0.246 0.246
Pr2 0.754 0.754 0.754
Sn1 0.000 0.000 0.000
Au1 0.143 0.143 0.143
Au2 0.368 0.368 0.368
Au3 0.632 0.632 0.632
Au4 0.857 0.857 0.857

Computed properties:
Mass density = 10.744 g cm⁻³
Magnetic moment = 0.0 Bohr magnetons per cell
Formation energy from the elements = -0.59 eV per atom

***

## Pr3SnAu (PBE)

Data for a relaxed Pr3SnAu crystal.

Cell: 8.565 8.565 8.742 Å, 90.01 90.01 84.01°
Positions (direct):
Pr1 0.002 0.805 0.915
Pr2 0.073 0.427 0.690
Pr3 0.195 0.998 0.585
Pr4 0.304 0.500 0.085
Pr5 0.427 0.073 0.190
Pr6 0.500 0.304 0.585
Pr7 0.500 0.696 0.415
Pr8 0.573 0.927 0.810
Pr9 0.696 0.500 0.915
Pr10 0.805 0.002 0.415
Pr11 0.927 0.573 0.310
Pr12 0.998 0.195 0.085
Sn1 0.157 0.843 0.250
Sn2 0.345 0.655 0.750
Sn3 0.655 0.345 0.250
Sn4 0.843 0.157 0.750
Au1 0.191 0.306 0.374
Au2 0.306 0.191 0.874
Au3 0.694 0.809 0.126
Au4 0.809 0.694 0.626

Computed properties:
Mass density = 7.690 g cm⁻³
Magnetic moment = 0.0 Bohr magnetons per cell
Formation energy from the elements = -0.54 eV per atom

***

## Pr8SnAu2 (PBE)

Data for a relaxed Pr8SnAu2 crystal.

Cell: 9.328 9.328 8.221 Å, 113.99 113.99 31.90°
Positions (direct):
Pr1 0.043 0.043 0.262
Pr2 0.180 0.180 0.778
Pr3 0.320 0.320 0.532
Pr4 0.408 0.408 0.039
Pr5 0.592 0.592 0.961
Pr6 0.680 0.680 0.468
Pr7 0.820 0.820 0.222
Pr8 0.957 0.957 0.738
Sn1 0.500 0.500 0.500
Au1 0.191 0.191 0.156
Au2 0.809 0.809 0.844

Computed properties:
Mass density = 7.951 g cm⁻³
Magnetic moment = 0.0 Bohr magnetons per cell
Formation energy from the elements = -0.41 eV per atom

***

## Pr3Sn4Au4 (PBE)

Data for a relaxed Pr3Sn4Au4 crystal.

Cell: 9.181 9.181 9.181 Å, 151.80 130.44 58.00°
Positions (direct):
Pr1 0.000 0.000 0.000
Pr2 0.379 0.879 0.500
Pr3 0.621 0.121 0.500
Sn1 0.037 0.337 0.700
Sn2 0.362 0.663 0.700
Sn3 0.638 0.337 0.300
Sn4 0.963 0.663 0.300
Au1 0.218 0.218 0.000
Au2 0.313 0.500 0.813
Au3 0.687 0.500 0.187
Au4 0.782 0.782 0.000

Computed properties:
Mass density = 10.125 g cm⁻³
Magnetic moment = 0.0 Bohr magnetons per cell
Formation energy from the elements = -0.61 eV per atom

***

## PrSnAu4 (PBE)

Data for a relaxed PrSnAu4 crystal.

Cell: 5.701 5.701 5.701 Å, 60.00 60.00 60.00°
Positions (direct):
Pr1 0.000 0.000 0.000
Sn1 0.750 0.750 0.750
Au1 0.375 0.375 0.375
Au2 0.375 0.375 0.875
Au3 0.375 0.875 0.375
Au4 0.875 0.375 0.375

Computed properties:
Relative energy among the computed polymorphs = 5 meV per atom
Mass density = 13.279 g cm⁻³
Magnetic moment = 0.0 Bohr magnetons per cell
Formation energy from the elements = -0.41 eV per atom

***

## PrSnAu3 (PBE)

Data for a relaxed PrSnAu3 crystal.

Cell: 7.553 7.691 8.489 Å, 90.00 109.47 90.00°
Positions (direct):
Pr1 0.195 0.043 0.238
Pr2 0.195 0.457 0.738
Pr3 0.805 0.543 0.262
Pr4 0.805 0.957 0.762
Sn1 0.399 0.724 0.538
Sn2 0.399 0.776 0.038
Sn3 0.601 0.224 0.962
Sn4 0.601 0.276 0.462
Au1 0.033 0.682 0.029
Au2 0.033 0.818 0.529
Au3 0.206 0.073 0.868
Au4 0.206 0.427 0.368
Au5 0.387 0.111 0.629
Au6 0.387 0.389 0.129
Au7 0.613 0.611 0.871
Au8 0.613 0.889 0.371
Au9 0.794 0.573 0.632
Au10 0.794 0.927 0.132
Au11 0.967 0.182 0.471
Au12 0.967 0.318 0.971

Computed properties:
Mass density = 12.151 g cm⁻³
Magnetic moment = 0.0 Bohr magnetons per cell
Formation energy from the elements = -0.53 eV per atom

***

## PrSn6Au6 (PBE)

Data for a relaxed PrSn6Au6 crystal.

Cell: 6.747 6.747 8.757 Å, 90.00 90.00 127.61°
Positions (direct):
Pr1 0.000 0.000 0.000
Sn1 0.000 0.500 0.220
Sn2 0.000 0.500 0.780
Sn3 0.500 0.000 0.220
Sn4 0.500 0.000 0.780
Sn5 0.500 0.500 0.307
Sn6 0.500 0.500 0.693
Au1 0.000 0.000 0.338
Au2 0.000 0.000 0.662
Au3 0.289 0.711 0.500
Au4 0.383 0.617 0.000
Au5 0.617 0.383 0.000
Au6 0.711 0.289 0.500

Computed properties:
Mass density = 10.701 g cm⁻³
Magnetic moment = 0.0 Bohr magnetons per cell
Formation energy from the elements = -0.16 eV per atom

***

## Pr3Sn5Au6 (PBE)

Data for a relaxed Pr3Sn5Au6 crystal.

Cell: 4.641 13.673 10.475 Å, 90.00 90.00 90.00°
Positions (direct):
Pr1 0.250 0.066 0.245
Pr2 0.250 0.434 0.245
Pr3 0.250 0.750 0.243
Pr4 0.750 0.250 0.757
Pr5 0.750 0.566 0.755
Pr6 0.750 0.934 0.755
Sn1 0.250 0.088 0.877
Sn2 0.250 0.412 0.877
Sn3 0.250 0.612 0.523
Sn4 0.250 0.750 0.778
Sn5 0.250 0.888 0.523
Sn6 0.750 0.112 0.477
Sn7 0.750 0.250 0.222
Sn8 0.750 0.388 0.477
Sn9 0.750 0.588 0.123
Sn10 0.750 0.912 0.123
Au1 0.250 0.084 0.620
Au2 0.250 0.250 0.041
Au3 0.250 0.250 0.443
Au4 0.250 0.416 0.620
Au5 0.250 0.603 0.977
Au6 0.250 0.897 0.977
Au7 0.750 0.103 0.023
Au8 0.750 0.397 0.023
Au9 0.750 0.584 0.380
Au10 0.750 0.750 0.557
Au11 0.750 0.750 0.959
Au12 0.750 0.916 0.380

Computed properties:
Mass density = 10.981 g cm⁻³
Magnetic moment = 0.0 Bohr magnetons per cell
Formation energy from the elements = -0.62 eV per atom